(1)
Here is an optimized crystal structure of Na2TaMn from Alexandria. Energies are from PBE.

Unit cell a=4.701 b=4.701 c=4.701 alpha=60.00 beta=60.00 gamma=60.00
Atoms (fractional coordinates):
Na1 0.250 0.250 0.250
Na2 0.750 0.750 0.750
Ta1 0.000 0.000 0.000
Mn1 0.500 0.500 0.500

Properties
Formation enthalpy at 0 K (eV per atom): 1.885
Total moment (Bohr magnetons per cell): 0.00
Total DFT energy (no corrections) (eV per atom): -4.031
Symmetry: Fm-3m
Excess energy over the best structure of this formula in the dataset (kcal/mol of atoms): 12.79



(2)
Here is an optimized crystal structure of Na2Ta2Mn from Alexandria. Energies are from PBE.

Unit cell a=8.536 b=8.536 c=2.634 alpha=90.00 beta=90.00 gamma=90.00
Atoms (fractional coordinates):
Na1 0.096 0.404 0.000
Na2 0.404 0.904 0.000
Na3 0.596 0.096 0.000
Na4 0.904 0.596 0.000
Ta1 0.204 0.704 0.500
Ta2 0.296 0.204 0.500
Ta3 0.704 0.796 0.500
Ta4 0.796 0.296 0.500
Mn1 0.000 0.000 0.000
Mn2 0.500 0.500 0.000

Properties
Formation enthalpy at 0 K (eV per atom): 1.820
Total moment (Bohr magnetons per cell): 0.17
Total DFT energy (no corrections) (eV per atom): -5.283
Symmetry: P4/mbm